# 1
The following is a PBE calculation of ErAlFe after structural relaxation, from Alexandria via LeMat-Bulk.

Lattice parameters (Å, degrees): 3.028 5.055 14.882 90.00 90.00 90.00
Space group Immm (No. 71)
One atom of each set of equivalent atoms:
1 Er 0.000 0.000 0.176 (multiplicity 4)
2 Al 0.000 0.000 0.391 (multiplicity 4)
3 Fe 0.000 0.237 0.000 (multiplicity 4)

* size of the total moment: 2.051 μB/f.u.
* ΔH_f (0 K): 0.03 eV/f.u.

---

# 2
The following is a PBE calculation of Er4AlFe after structural relaxation, from Alexandria via LeMat-Bulk.

Lattice parameters (Å, degrees): 8.474 12.545 5.923 90.00 107.37 90.00
Space group C2/c (No. 15)
One atom of each set of equivalent atoms:
1 Er 0.107 0.166 0.045 (multiplicity 8)
2 Er 0.216 0.423 0.390 (multiplicity 8)
3 Al 0.000 0.375 0.750 (multiplicity 4)
4 Fe 0.000 0.001 0.250 (multiplicity 4)

* size of the total moment: 0.000 μB/f.u.
* ΔH_f (0 K): -0.88 eV/f.u.

---

# 3
The following is a PBE calculation of ErAl8Fe2 after structural relaxation, from Alexandria via LeMat-Bulk.

Lattice parameters (Å, degrees): 8.169 10.377 4.576 90.00 102.88 90.00
Space group C2/m (No. 12)
One atom of each set of equivalent atoms:
1 Er 0.000 0.000 0.000 (multiplicity 2)
2 Al 0.000 0.282 0.000 (multiplicity 4)
3 Al 0.107 0.500 0.766 (multiplicity 4)
4 Al 0.220 0.131 0.593 (multiplicity 8)
5 Fe 0.000 0.291 0.500 (multiplicity 4)

* size of the total moment: 0.000 μB/f.u.
* ΔH_f (0 K): -2.06 eV/f.u.

---

# 4
The following is a PBE calculation of Er2Al3Fe14 after structural relaxation, from Alexandria via LeMat-Bulk.

Lattice parameters (Å, degrees): 8.5000 8.5000 8.2010 90.00 90.00 120.00
Space group P6_3/mmc (No. 194)
One atom of each set of equivalent atoms:
1 Er 0.0000 0.0000 0.2500 (multiplicity 2)
2 Er 0.3333 0.6667 0.2500 (multiplicity 2)
3 Al 0.0000 0.5000 0.0000 (multiplicity 6)
4 Fe 0.0291 0.3505 0.7500 (multiplicity 12)
5 Fe 0.1655 0.3309 0.0150 (multiplicity 12)
6 Fe 0.3333 0.6667 0.6114 (multiplicity 4)

* size of the total moment: 27.886 μB/f.u.
* ΔH_f (0 K): -2.56 eV/f.u.

---

# 5
The following is a PBE calculation of ErAlFe after structural relaxation, from Alexandria via LeMat-Bulk.

Lattice parameters (Å, degrees): 4.2196 4.2196 3.5860 90.00 90.00 120.00
Space group P-6m2 (No. 187)
One atom of each set of equivalent atoms:
1 Er 0.0000 0.0000 0.0000 (multiplicity 1)
2 Al 0.3333 0.6667 0.5000 (multiplicity 1)
3 Fe 0.6667 0.3333 0.5000 (multiplicity 1)

* size of the total moment: 0.000 μB/f.u.
* ΔH_f (0 K): -0.33 eV/f.u.

---

# 6
The following is a PBE calculation of ErAlFe after structural relaxation, from Alexandria via LeMat-Bulk.

Lattice parameters (Å, degrees): 8.649 5.360 9.144 90.00 90.00 90.00
Space group Amm2 (No. 38)
One atom of each set of equivalent atoms:
1 Er 0.176 0.000 0.000 (multiplicity 4)
2 Er 0.304 0.000 0.665 (multiplicity 4)
3 Al 0.233 0.000 0.326 (multiplicity 4)
4 Al 0.500 0.247 0.919 (multiplicity 4)
5 Fe 0.000 0.000 0.504 (multiplicity 2)
6 Fe 0.000 0.231 0.742 (multiplicity 4)
7 Fe 0.500 0.000 0.165 (multiplicity 2)

* size of the total moment: 1.547 μB/f.u.
* ΔH_f (0 K): -0.97 eV/f.u.

---

# 7
The following is a PBE calculation of ErAlFe after structural relaxation, from Alexandria via LeMat-Bulk.

Lattice parameters (Å, degrees): 3.163 3.163 10.434 90.00 90.00 90.00
Space group I4mm (No. 107)
One atom of each set of equivalent atoms:
1 Er 0.000 0.000 0.000 (multiplicity 2)
2 Al 0.000 0.000 0.280 (multiplicity 2)
3 Fe 0.000 0.000 0.672 (multiplicity 2)

* size of the total moment: 0.000 μB/f.u.
* ΔH_f (0 K): -0.45 eV/f.u.

---

# 8
The following is a PBE calculation of Er5AlFe2 after structural relaxation, from Alexandria via LeMat-Bulk.

Lattice parameters (Å, degrees): 7.310 7.310 14.055 90.00 90.00 90.00
Space group I4/mcm (No. 140)
One atom of each set of equivalent atoms:
1 Er 0.000 0.000 0.000 (multiplicity 4)
2 Er 0.176 0.324 0.136 (multiplicity 16)
3 Al 0.000 0.000 0.250 (multiplicity 4)
4 Fe 0.106 0.394 0.500 (multiplicity 8)

* size of the total moment: 0.277 μB/f.u.
* ΔH_f (0 K): -0.91 eV/f.u.

---

# 9
The following is a PBE calculation of Er3Al9Fe2 after structural relaxation, from Alexandria via LeMat-Bulk.

Lattice parameters (Å, degrees): 4.282 9.542 12.105 90.00 90.00 90.00
Space group Immm (No. 71)
One atom of each set of equivalent atoms:
1 Er 0.000 0.000 0.000 (multiplicity 2)
2 Er 0.000 0.000 0.301 (multiplicity 4)
3 Al 0.000 0.284 0.125 (multiplicity 8)
4 Al 0.000 0.360 0.353 (multiplicity 8)
5 Al 0.000 0.500 0.000 (multiplicity 2)
6 Fe 0.000 0.170 0.500 (multiplicity 4)

* size of the total moment: 0.892 μB/f.u.
* ΔH_f (0 K): -5.74 eV/f.u.

---

# 10
The following is a PBE calculation of ErAlFe after structural relaxation, from Alexandria via LeMat-Bulk.

Lattice parameters (Å, degrees): 5.305 5.427 7.327 90.00 90.00 90.00
Space group Imma (No. 74)
One atom of each set of equivalent atoms:
1 Er 0.000 0.250 0.114 (multiplicity 4)
2 Al 0.000 0.000 0.500 (multiplicity 4)
3 Fe 0.250 0.250 0.750 (multiplicity 4)

* size of the total moment: 1.527 μB/f.u.
* ΔH_f (0 K): -0.96 eV/f.u.

---

# 11
The following is a PBE calculation of Er2Al2Fe15 after structural relaxation, from Alexandria via LeMat-Bulk.

Lattice parameters (Å, degrees): 8.3287 8.3287 12.5112 90.00 90.00 120.00
Space group R-3m (No. 166, hexagonal axes)
One atom of each set of equivalent atoms:
1 Er 0.0000 0.0000 0.1530 (multiplicity 6)
2 Al 0.0000 0.0000 0.3982 (multiplicity 6)
3 Fe 0.0000 0.3030 0.5000 (multiplicity 18)
4 Fe 0.0000 0.5000 0.0000 (multiplicity 9)
5 Fe 0.0008 0.5004 0.6590 (multiplicity 18)

* size of the total moment: 27.666 μB/f.u.
* ΔH_f (0 K): -1.97 eV/f.u.

---

# 12
The following is a PBE calculation of GdErAlFe after structural relaxation, from Alexandria via LeMat-Bulk.

Lattice parameters (Å, degrees): 7.032 7.032 7.032 90.00 90.00 90.00
Space group F-43m (No. 216)
One atom of each set of equivalent atoms:
1 Gd 0.000 0.000 0.000 (multiplicity 4)
2 Er 0.000 0.000 0.500 (multiplicity 4)
3 Al 0.250 0.250 0.250 (multiplicity 4)
4 Fe 0.250 0.250 0.750 (multiplicity 4)

* size of the total moment: 5.709 μB/f.u.
* ΔH_f (0 K): -0.33 eV/f.u.

---

# 13
The following is a PBE calculation of HoErAlFe after structural relaxation, from Alexandria via LeMat-Bulk.

Lattice parameters (Å, degrees): 6.977 6.977 6.977 90.00 90.00 90.00
Space group F-43m (No. 216)
One atom of each set of equivalent atoms:
1 Ho 0.000 0.000 0.000 (multiplicity 4)
2 Er 0.000 0.000 0.500 (multiplicity 4)
3 Al 0.250 0.250 0.750 (multiplicity 4)
4 Fe 0.250 0.250 0.250 (multiplicity 4)

* size of the total moment: 1.260 μB/f.u.
* ΔH_f (0 K): -0.36 eV/f.u.

---

# 14
The following is a PBE calculation of LiErAlFe after structural relaxation, from Alexandria via LeMat-Bulk.

Lattice parameters (Å, degrees): 6.368 6.368 6.368 90.00 90.00 90.00
Space group F-43m (No. 216)
One atom of each set of equivalent atoms:
1 Li 0.000 0.000 0.000 (multiplicity 4)
2 Er 0.250 0.250 0.250 (multiplicity 4)
3 Al 0.250 0.250 0.750 (multiplicity 4)
4 Fe 0.000 0.000 0.500 (multiplicity 4)

* size of the total moment: 0.496 μB/f.u.
* ΔH_f (0 K): -0.17 eV/f.u.

---

# 15
The following is a PBE calculation of Er2MnAl5Fe2 after structural relaxation, from Alexandria via LeMat-Bulk.

Lattice parameters (Å, degrees): 10.405 10.405 3.032 90.00 90.00 90.00
Space group P4/mbm (No. 127)
One atom of each set of equivalent atoms:
1 Er 0.187 0.313 0.000 (multiplicity 4)
2 Mn 0.000 0.000 0.000 (multiplicity 2)
3 Al 0.000 0.500 0.500 (multiplicity 2)
4 Al 0.052 0.801 0.500 (multiplicity 8)
5 Fe 0.127 0.627 0.000 (multiplicity 4)

* size of the total moment: 2.857 μB/f.u.
* ΔH_f (0 K): -2.05 eV/f.u.

---

# 16
The following is a PBE calculation of Er2AlFe2Ni5 after structural relaxation, from Alexandria via LeMat-Bulk.

Lattice parameters (Å, degrees): 8.914 8.914 3.649 90.00 90.00 90.00
Space group P4/mbm (No. 127)
One atom of each set of equivalent atoms:
1 Er 0.179 0.321 0.000 (multiplicity 4)
2 Al 0.000 0.000 0.000 (multiplicity 2)
3 Fe 0.119 0.619 0.000 (multiplicity 4)
4 Ni 0.000 0.500 0.500 (multiplicity 2)
5 Ni 0.061 0.793 0.500 (multiplicity 8)

* size of the total moment: 5.940 μB/f.u.
* ΔH_f (0 K): -2.28 eV/f.u.

---

# 17
The following is a PBE calculation of Pm2ErAl12Fe3 after structural relaxation, from Alexandria via LeMat-Bulk.

Lattice parameters (Å, degrees): 8.5419 8.5419 18.5900 90.00 90.00 120.00
Space group R-3m (No. 166, hexagonal axes)
One atom of each set of equivalent atoms:
1 Pm 0.0000 0.0000 0.0827 (multiplicity 6)
2 Er 0.0000 0.0000 0.5000 (multiplicity 3)
3 Al 0.0881 0.5441 0.8819 (multiplicity 18)
4 Al 0.0962 0.5481 0.3204 (multiplicity 18)
5 Fe 0.0000 0.5000 0.0000 (multiplicity 9)

* size of the total moment: 0.001 μB/f.u.
* ΔH_f (0 K): 2.59 eV/f.u.

---

# 18
The following is a PBE calculation of ErAl2Fe2Si after structural relaxation, from Alexandria via LeMat-Bulk.

Lattice parameters (Å, degrees): 4.205 4.205 5.545 90.00 90.00 90.00
Space group P4/mmm (No. 123)
One atom of each set of equivalent atoms:
1 Er 0.000 0.000 0.000 (multiplicity 1)
2 Al 0.500 0.500 0.243 (multiplicity 2)
3 Fe 0.000 0.500 0.500 (multiplicity 2)
4 Si 0.000 0.000 0.500 (multiplicity 1)

* size of the total moment: 0.702 μB/f.u.
* uncorrected energy: -6.00 eV per atom